VASP calculation (PBE) on a relaxed structure of U2MnC.

Cell and atoms, written as POSCAR:
```
U2MnC
1.0
2.8940 0.0000 0.0000
0.0000 2.8940 0.0000
0.0000 0.0000 6.8689
U Mn C
2 1 1
Direct
0.0000 0.0000 0.2179
0.0000 0.0000 0.7821
0.5000 0.5000 0.5000
0.5000 0.5000 0.0000
```

Computed properties:
The value obtained for the formation energy is 210 meV/atom. The total energy is -10.032 eV/atom. Its crystal system is tetragonal. The size of the total moment comes out at 0.05 μB per formula unit. For the theoretical density, the calculation gives 15.67 Mg/m³. The value obtained for the polymorph energy (0 for the lowest one) is 0 meV/atom.